5
Lattice="3.9967 0.0000 0.0000 0.0000 5.5306 0.0000 0.0000 0.0000 3.9967" Properties=species:S:1:pos:R:3 comment="TiMnSeF2 GGA+U relaxed" final_energy_ev_per_atom=-6.3199 n_ef_per_ev_fu=3.6 pbc="T T T"
F 1.9984 0.0000 0.0000
Mn 1.9984 2.7653 1.9984
Ti 0.0000 0.0000 0.0000
F 0.0000 0.0000 1.9984
Se 0.0000 2.7653 0.0000